# 1
DFT (GGA-PBE) results for MnAs2Se after structural relaxation.

Calculated values
The calculation puts the uncorrected formation energy at 0.16 eV/atom. As for the space group: No. 166.

Cell lengths 10.057, 10.057, 10.057 Å; angles 16.81, 16.81, 16.81 degrees
Atoms (fractional coordinates):
Mn  0.000  0.000  0.000
As  0.274  0.274  0.274
As  0.726  0.726  0.726
Se  0.500  0.500  0.500



# 2
DFT (GGA-PBE) results for MnAs4Se after structural relaxation.

Calculated values
The calculation puts the uncorrected formation energy at 0.54 eV/atom. As for the space group: No. 216.

Cell lengths 5.559, 5.559, 5.559 Å; angles 60.00, 60.00, 60.00 degrees
Atoms (fractional coordinates):
Mn  0.000  0.000  0.000
As  0.377  0.377  0.377
As  0.377  0.377  0.870
As  0.377  0.870  0.377
As  0.870  0.377  0.377
Se  0.750  0.750  0.750



# 3
DFT (GGA-PBE) results for MnAs2Se after structural relaxation.

Calculated values
The calculation puts the uncorrected formation energy at 0.03 eV/atom. As for the space group: No. 139.

Cell lengths 4.690, 4.690, 4.690 Å; angles 109.63, 109.63, 109.15 degrees
Atoms (fractional coordinates):
Mn  0.000  0.000  0.000
As  0.000  0.500  0.500
As  0.500  0.000  0.500
Se  0.500  0.500  0.000



# 4
DFT (GGA-PBE) results for MnAs2Se after structural relaxation.

Calculated values
The calculation puts the uncorrected formation energy at 0.12 eV/atom. As for the space group: No. 99.

Cell lengths 3.227, 3.227, 7.146 Å; angles 90.00, 90.00, 90.00 degrees
Atoms (fractional coordinates):
Mn  0.000  0.000  0.000
As  0.000  0.000  0.589
As  0.500  0.500  0.805
Se  0.500  0.500  0.198



# 5
DFT (GGA-PBE) results for MnAsSe after structural relaxation.

Calculated values
The calculation puts the uncorrected formation energy at -0.18 eV/atom. As for the space group: No. 156.

Cell lengths 3.465, 3.465, 5.517 Å; angles 90.00, 90.00, 120.00 degrees
Atoms (fractional coordinates):
Mn  0.000  0.000  0.000
As  0.333  0.667  0.736
Se  0.667  0.333  0.261



# 6
DFT (GGA-PBE) results for MnAsSe3 after structural relaxation.

Calculated values
The calculation puts the uncorrected formation energy at 1.15 eV/atom. As for the space group: No. 221.

Cell lengths 4.976, 4.976, 4.976 Å; angles 90.00, 90.00, 90.00 degrees
Atoms (fractional coordinates):
Mn  0.000  0.000  0.000
As  0.500  0.500  0.500
Se  0.000  0.500  0.500
Se  0.500  0.000  0.500
Se  0.500  0.500  0.000



# 7
DFT (GGA-PBE) results for MnSnAs2Se after structural relaxation.

Calculated values
The calculation puts the uncorrected formation energy at 1.43 eV/atom. As for the space group: No. 123.

Cell lengths 5.184, 5.184, 4.906 Å; angles 90.00, 90.00, 90.00 degrees
Atoms (fractional coordinates):
Mn  0.000  0.000  0.000
Sn  0.000  0.000  0.500
As  0.000  0.500  0.500
As  0.500  0.000  0.500
Se  0.500  0.500  0.000



# 8
DFT (GGA-PBE) results for MnSnAs2Se after structural relaxation.

Calculated values
The calculation puts the uncorrected formation energy at 0.20 eV/atom. As for the space group: No. 123.

Cell lengths 4.590, 4.590, 5.393 Å; angles 90.00, 90.00, 90.00 degrees
Atoms (fractional coordinates):
Mn  0.000  0.000  0.000
Sn  0.500  0.500  0.500
As  0.000  0.500  0.000
As  0.500  0.000  0.000
Se  0.000  0.000  0.500